No. 1
Computed, not measured: a relaxed Y2Bi2W crystal at the PBEsol level of DFT.

a b c (Å): 8.868 8.868 8.868
angles (deg): 153.02 153.02 38.53
Positions (direct):
Y 0.093 0.093 0.000
Y 0.907 0.907 0.000
Bi 0.250 0.750 0.500
Bi 0.750 0.250 0.500
W 0.500 0.500 0.000

Computed properties:
- total energy (eV per atom) = -6.5422
- E_form (eV per atom) = 0.66
- crystal system = tetragonal
- SG = I4/mmm, No. 139

***

No. 2
Computed, not measured: a relaxed MgCuO3 crystal at the PBEsol level of DFT.

a b c (Å): 3.824 3.824 3.824
angles (deg): 90.00 90.00 90.00
Positions (direct):
Mg 0.000 0.000 0.000
Cu 0.500 0.500 0.500
O 0.000 0.000 0.500
O 0.000 0.500 0.000
O 0.500 0.000 0.000

Computed properties:
- total energy (eV per atom) = -4.6187
- E_form (uncorrected) (eV per atom) = -0.26
- crystal system = cubic
- SG = Pm-3m, No. 221

***

No. 3
Computed, not measured: a relaxed RbBaSb2I crystal at the PBEsol level of DFT.

a b c (Å): 6.345 6.345 6.629
angles (deg): 90.00 90.00 90.00
Positions (direct):
Rb 0.000 0.000 0.000
Ba 0.500 0.500 0.500
Sb 0.000 0.500 0.500
Sb 0.500 0.000 0.500
I 0.500 0.500 0.000

Computed properties:
- total energy (eV per atom) = -2.9197
- E_form (uncorrected) (eV per atom) = -0.11
- crystal system = tetragonal
- SG = P4/mmm, No. 123

***

No. 4
Computed, not measured: a relaxed SrOsSe crystal at the PBEsol level of DFT.

a b c (Å): 4.597 4.597 4.597
angles (deg): 60.00 60.00 60.00
Positions (direct):
Sr 0.000 0.000 0.000
Os 0.500 0.500 0.500
Se 0.750 0.750 0.750

Computed properties:
- total energy (eV per atom) = -5.4202
- relative energy among the computed polymorphs (meV per atom) = 0
- E_form (uncorrected) (eV per atom) = 0.55
- crystal system = cubic
- SG = F-43m, No. 216

***

Total magnetic moment? In order: 0.3555 0.6000 0.3324 0.5681 μB per atom.
V? In order: 143.3 55.9 266.8 68.7 Å³ per cell.